Entry 1:
Ag3Pd PBE-GGA relaxed; SG = Fm-3m (225); ΔE_f = 7 meV per atom
1.0
-0.336 3.669 2.766
-3.254 0.138 3.259
1.172 -0.348 4.442
Ag Pd
3 1
Direct
0.000 0.000 0.000
0.250 0.250 0.250
0.750 0.750 0.750
0.500 0.500 0.500



Entry 2:
AgPd8 PBE-GGA relaxed; SG = I4/mmm (139); ΔE_f = 11 meV per atom
1.0
3.971 0.000 0.000
1.986 5.952 0.000
1.986 0.000 5.952
Pd Ag
8 1
Direct
0.332 0.000 0.335
0.000 0.334 0.666
0.668 0.000 0.665
0.000 0.666 0.334
0.668 0.665 0.000
0.332 0.335 0.000
0.334 0.666 0.666
0.666 0.334 0.334
0.000 0.000 0.000



Entry 3:
Ag2Pd PBE-GGA relaxed; SG = C2/m (12); ΔE_f = -35 meV per atom
1.0
-2.109 -0.750 -1.801
-3.120 -1.889 4.440
-0.669 6.440 0.394
Pd Ag
2 4
Direct
0.169 0.082 0.338
0.831 0.918 0.662
0.498 0.754 0.997
0.832 0.413 0.665
0.502 0.246 0.003
0.168 0.587 0.335



ΔE_f of number 1 (Ag3Pd)?
7 meV per atom



What is the ΔE_f in the first record?
7 meV per atom